[1]
This record from the Alexandria database describes CrGe3Ir at its PBEsol-relaxed geometry. The functional is SCAN.

Lattice parameters (Å, degrees): 4.507 4.507 4.507 90.00 90.00 90.00
Element x y z (fractional)
Cr 0.000 0.000 0.000
Ge 0.000 0.000 0.500
Ge 0.000 0.500 0.000
Ge 0.500 0.000 0.000
Ir 0.500 0.500 0.500

Output
* energy of formation: 0.949 eV/atom

[2]
This record from the Alexandria database describes YRuSe2 at its PBEsol-relaxed geometry. The functional is SCAN.

Lattice parameters (Å, degrees): 3.936 3.936 24.187 90.00 90.00 120.00
Element x y z (fractional)
Y 0.000 0.000 0.000
Y 0.333 0.667 0.667
Y 0.667 0.333 0.333
Ru 0.000 0.000 0.500
Ru 0.333 0.667 0.167
Ru 0.667 0.333 0.833
Se 0.000 0.000 0.401
Se 0.000 0.000 0.599
Se 0.333 0.667 0.068
Se 0.333 0.667 0.266
Se 0.667 0.333 0.734
Se 0.667 0.333 0.932

Output
* electronic total energy: -26.2322 eV/atom

[3]
This record from the Alexandria database describes SrB2Au at its PBEsol-relaxed geometry. The functional is SCAN.

Lattice parameters (Å, degrees): 4.359 4.359 14.551 90.00 90.00 90.00
Element x y z (fractional)
Sr 0.000 0.250 0.375
Sr 0.000 0.750 0.625
Sr 0.500 0.250 0.125
Sr 0.500 0.750 0.875
B 0.000 0.000 0.000
B 0.000 0.500 0.000
B 0.250 0.250 0.750
B 0.250 0.750 0.250
B 0.500 0.000 0.500
B 0.500 0.500 0.500
B 0.750 0.250 0.750
B 0.750 0.750 0.250
Au 0.000 0.250 0.875
Au 0.000 0.750 0.125
Au 0.500 0.250 0.625
Au 0.500 0.750 0.375

Output
* energy of formation: 0.209 eV/atom

[4]
This record from the Alexandria database describes Zn3AsN at its PBEsol-relaxed geometry. The functional is SCAN.

Lattice parameters (Å, degrees): 4.111 4.111 4.111 90.00 90.00 90.00
Element x y z (fractional)
Zn 0.000 0.000 0.500
Zn 0.000 0.500 0.000
Zn 0.500 0.000 0.000
As 0.500 0.500 0.500
N 0.000 0.000 0.000

Output
* electronic total energy: -13.8269 eV/atom

[5]
This record from the Alexandria database describes YBPO2 at its PBEsol-relaxed geometry. The functional is SCAN.

Lattice parameters (Å, degrees): 4.043 4.043 5.918 90.00 90.00 90.00
Element x y z (fractional)
Y 0.000 0.000 0.000
B 0.500 0.500 0.500
P 0.000 0.000 0.500
O 0.000 0.500 0.000
O 0.500 0.000 0.000

Output
* electronic total energy: -11.5601 eV/atom

[6]
This record from the Alexandria database describes Na2AlCrP4O14 at its PBEsol-relaxed geometry. The functional is SCAN.

Lattice parameters (Å, degrees): 7.268 7.749 9.403 90.00 111.67 90.00
Element x y z (fractional)
Na 0.208 0.000 0.454
Na 0.209 0.549 0.953
Na 0.791 0.049 0.047
Na 0.792 0.500 0.546
Al 0.241 0.016 0.002
Al 0.759 0.516 0.998
Cr 0.240 0.532 0.504
Cr 0.760 0.032 0.496
P 0.169 0.315 0.202
P 0.175 0.232 0.708
P 0.423 0.781 0.294
P 0.430 0.773 0.799
P 0.570 0.273 0.201
P 0.577 0.281 0.706
P 0.825 0.732 0.292
P 0.831 0.815 0.798
O 0.021 0.439 0.095
O 0.033 0.108 0.595
O 0.141 0.128 0.145
O 0.143 0.423 0.657
O 0.187 0.322 0.369
O 0.191 0.217 0.873
O 0.304 0.661 0.354
O 0.307 0.818 0.126
O 0.309 0.741 0.630
O 0.319 0.892 0.865
O 0.374 0.380 0.189
O 0.382 0.174 0.693
O 0.490 0.944 0.392
O 0.500 0.107 0.107
O 0.500 0.607 0.893
O 0.510 0.444 0.608
O 0.618 0.674 0.307
O 0.626 0.880 0.811
O 0.681 0.392 0.135
O 0.691 0.241 0.370
O 0.693 0.318 0.874
O 0.696 0.161 0.646
O 0.809 0.717 0.127
O 0.813 0.822 0.631
O 0.857 0.923 0.343
O 0.859 0.628 0.855
O 0.967 0.608 0.405
O 0.979 0.939 0.905

Output
* electronic total energy: -10.0803 eV/atom

[7]
This record from the Alexandria database describes Na2Ge2S5 at its PBEsol-relaxed geometry. The functional is SCAN.

Lattice parameters (Å, degrees): 9.046 9.046 10.438 90.00 90.00 90.24
Element x y z (fractional)
Na 0.079 0.580 0.750
Na 0.146 0.146 0.000
Na 0.146 0.146 0.500
Na 0.420 0.921 0.750
Na 0.580 0.079 0.250
Na 0.854 0.854 0.000
Na 0.854 0.854 0.500
Na 0.921 0.420 0.250
Ge 0.257 0.743 0.079
Ge 0.257 0.743 0.421
Ge 0.318 0.404 0.250
Ge 0.404 0.318 0.750
Ge 0.596 0.682 0.250
Ge 0.682 0.596 0.750
Ge 0.743 0.257 0.579
Ge 0.743 0.257 0.921
S 0.154 0.846 0.250
S 0.158 0.842 0.587
S 0.158 0.842 0.913
S 0.171 0.273 0.750
S 0.209 0.499 0.075
S 0.209 0.499 0.425
S 0.273 0.171 0.250
S 0.439 0.561 0.750
S 0.499 0.209 0.575
S 0.499 0.209 0.925
S 0.501 0.791 0.075
S 0.501 0.791 0.425
S 0.561 0.439 0.250
S 0.727 0.829 0.750
S 0.791 0.501 0.575
S 0.791 0.501 0.925
S 0.829 0.727 0.250
S 0.842 0.158 0.087
S 0.842 0.158 0.413
S 0.846 0.154 0.750

Output
* electronic total energy: -11.3121 eV/atom

[8]
This record from the Alexandria database describes CrIrBr2 at its PBEsol-relaxed geometry. The functional is SCAN.

Lattice parameters (Å, degrees): 3.176 3.176 24.444 90.00 90.00 120.00
Element x y z (fractional)
Cr 0.000 0.000 0.000
Cr 0.333 0.667 0.667
Cr 0.667 0.333 0.333
Ir 0.000 0.000 0.500
Ir 0.333 0.667 0.167
Ir 0.667 0.333 0.833
Br 0.000 0.000 0.401
Br 0.000 0.000 0.599
Br 0.333 0.667 0.068
Br 0.333 0.667 0.265
Br 0.667 0.333 0.735
Br 0.667 0.333 0.932

Output
* electronic total energy: -31.5595 eV/atom

[9]
This record from the Alexandria database describes InTeSe4 at its PBEsol-relaxed geometry. The functional is SCAN.

Lattice parameters (Å, degrees): 5.773 5.773 5.773 60.00 60.00 60.00
Element x y z (fractional)
In 0.000 0.000 0.000
Te 0.250 0.250 0.250
Se 0.129 0.624 0.624
Se 0.624 0.129 0.624
Se 0.624 0.624 0.129
Se 0.624 0.624 0.624

Output
* electronic total energy: -24.5882 eV/atom

[10]
This record from the Alexandria database describes Y2IrPb at its PBEsol-relaxed geometry. The functional is SCAN.

Lattice parameters (Å, degrees): 3.426 3.426 7.929 90.00 90.00 90.00
Element x y z (fractional)
Y 0.000 0.000 0.208
Y 0.000 0.000 0.792
Ir 0.500 0.500 0.000
Pb 0.500 0.500 0.500

Output
* energy of formation: -0.875 eV/atom

[11]
This record from the Alexandria database describes Sr2CdSiI at its PBEsol-relaxed geometry. The functional is SCAN.

Lattice parameters (Å, degrees): 6.024 6.024 5.513 90.00 90.00 90.00
Element x y z (fractional)
Sr 0.000 0.500 0.000
Sr 0.500 0.000 0.000
Cd 0.000 0.000 0.500
Si 0.500 0.500 0.500
I 0.000 0.000 0.000

Output
* electronic total energy: -24.0487 eV/atom

[12]
This record from the Alexandria database describes MgZn4 at its PBEsol-relaxed geometry. The functional is SCAN.

Lattice parameters (Å, degrees): 3.674 3.674 12.162 90.00 90.00 90.00
Element x y z (fractional)
Mg 0.000 0.000 0.000
Mg 0.500 0.500 0.500
Zn 0.000 0.000 0.400
Zn 0.000 0.000 0.600
Zn 0.000 0.500 0.250
Zn 0.000 0.500 0.750
Zn 0.500 0.000 0.250
Zn 0.500 0.000 0.750
Zn 0.500 0.500 0.100
Zn 0.500 0.500 0.900

Output
* energy of formation: -0.028 eV/atom

[13]
This record from the Alexandria database describes SrScSe2Br at its PBEsol-relaxed geometry. The functional is SCAN.

Lattice parameters (Å, degrees): 5.606 5.606 5.426 90.00 90.00 90.00
Element x y z (fractional)
Sr 0.000 0.000 0.000
Sc 0.500 0.500 0.500
Se 0.000 0.500 0.000
Se 0.500 0.000 0.000
Br 0.000 0.000 0.500

Output
* electronic total energy: -19.7803 eV/atom

[14]
This record from the Alexandria database describes Lu3BiRu4O14 at its PBEsol-relaxed geometry. The functional is SCAN.

Lattice parameters (Å, degrees): 7.082 7.082 7.082 60.09 60.09 60.09
Element x y z (fractional)
Lu 0.000 0.500 0.500
Lu 0.500 0.000 0.500
Lu 0.500 0.500 0.000
Bi 0.500 0.500 0.500
Ru 0.000 0.000 0.000
Ru 0.000 0.000 0.500
Ru 0.000 0.500 0.000
Ru 0.500 0.000 0.000
O 0.081 0.663 0.663
O 0.087 0.087 0.664
O 0.087 0.664 0.087
O 0.336 0.913 0.913
O 0.337 0.337 0.919
O 0.337 0.919 0.337
O 0.368 0.368 0.368
O 0.632 0.632 0.632
O 0.663 0.081 0.663
O 0.663 0.663 0.081
O 0.664 0.087 0.087
O 0.913 0.336 0.913
O 0.913 0.913 0.336
O 0.919 0.337 0.337

Output
* electronic total energy: -23.5892 eV/atom

[15]
This record from the Alexandria database describes RbNbSn2 at its PBEsol-relaxed geometry. The functional is SCAN.

Lattice parameters (Å, degrees): 7.406 7.406 7.406 90.00 90.00 90.00
Element x y z (fractional)
Rb 0.000 0.000 0.000
Rb 0.000 0.500 0.500
Rb 0.500 0.000 0.500
Rb 0.500 0.500 0.000
Nb 0.000 0.000 0.500
Nb 0.000 0.500 0.000
Nb 0.500 0.000 0.000
Nb 0.500 0.500 0.500
Sn 0.250 0.250 0.250
Sn 0.250 0.250 0.750
Sn 0.250 0.750 0.250
Sn 0.250 0.750 0.750
Sn 0.750 0.250 0.250
Sn 0.750 0.250 0.750
Sn 0.750 0.750 0.250
Sn 0.750 0.750 0.750

Output
* energy of formation: 0.540 eV/atom

[16]
This record from the Alexandria database describes TaMn3Rh at its PBEsol-relaxed geometry. The functional is SCAN.

Lattice parameters (Å, degrees): 4.485 4.485 4.485 90.00 90.00 90.00
Element x y z (fractional)
Ta 0.000 0.000 0.000
Mn 0.000 0.000 0.500
Mn 0.000 0.500 0.000
Mn 0.500 0.000 0.000
Rh 0.500 0.500 0.500

Output
* energy of formation: 1.279 eV/atom

[17]
This record from the Alexandria database describes MnTl2Ni at its PBEsol-relaxed geometry. The functional is SCAN.

Lattice parameters (Å, degrees): 6.509 6.509 6.509 90.00 90.00 90.00
Element x y z (fractional)
Mn 0.000 0.000 0.000
Mn 0.000 0.500 0.500
Mn 0.500 0.000 0.500
Mn 0.500 0.500 0.000
Tl 0.250 0.250 0.250
Tl 0.250 0.250 0.750
Tl 0.250 0.750 0.250
Tl 0.250 0.750 0.750
Tl 0.750 0.250 0.250
Tl 0.750 0.250 0.750
Tl 0.750 0.750 0.250
Tl 0.750 0.750 0.750
Ni 0.000 0.000 0.500
Ni 0.000 0.500 0.000
Ni 0.500 0.000 0.000
Ni 0.500 0.500 0.500

Output
* energy of formation: 0.322 eV/atom

[18]
This record from the Alexandria database describes MgCo2Ag at its PBEsol-relaxed geometry. The functional is SCAN.

Lattice parameters (Å, degrees): 3.659 3.659 4.007 90.00 90.00 90.00
Element x y z (fractional)
Mg 0.000 0.000 0.000
Co 0.000 0.500 0.500
Co 0.500 0.000 0.500
Ag 0.500 0.500 0.000

Output
* energy of formation: 0.145 eV/atom

[19]
This record from the Alexandria database describes ReTeRu2 at its PBEsol-relaxed geometry. The functional is SCAN.

Lattice parameters (Å, degrees): 4.002 2.895 10.756 90.00 90.00 90.00
Element x y z (fractional)
Re 0.000 0.000 0.000
Re 0.000 0.500 0.500
Te 0.500 0.000 0.163
Te 0.500 0.500 0.663
Ru 0.000 0.000 0.756
Ru 0.000 0.500 0.256
Ru 0.500 0.000 0.402
Ru 0.500 0.500 0.902

Output
* electronic total energy: -44.0659 eV/atom

[20]
This record from the Alexandria database describes La2MnSiN at its PBEsol-relaxed geometry. The functional is SCAN.

Lattice parameters (Å, degrees): 4.954 4.954 4.226 90.00 90.00 90.00
Element x y z (fractional)
La 0.000 0.500 0.000
La 0.500 0.000 0.000
Mn 0.000 0.000 0.000
Si 0.000 0.000 0.500
N 0.500 0.500 0.500

Output
* electronic total energy: -24.5444 eV/atom